# 1
# AlCuPb2Se4 PBE optimized geometry
# Formation energy from raw total energies: -508 meV/atom
data_AlCuPb2Se4
_cell_length_a 6.521
_cell_length_b 6.545
_cell_length_c 6.546
_cell_angle_alpha 100.71
_cell_angle_beta 112.91
_cell_angle_gamma 112.85
_space_group_name_H-M_alt 'P 1'
_space_group_IT_number 1
loop_
_space_group_symop_operation_xyz
'x,y,z'
loop_
_atom_site_label
_atom_site_type_symbol
_atom_site_fract_x
_atom_site_fract_y
_atom_site_fract_z
_atom_site_occupancy
Al1 Al 0.000 0.000 0.000 1
Cu1 Cu 0.499 0.253 0.747 1
Pb1 Pb 0.000 0.444 0.555 1
Pb2 Pb 0.500 0.702 0.298 1
Se1 Se 0.073 0.939 0.665 1
Se2 Se 0.417 0.113 0.337 1
Se3 Se 0.583 0.664 0.887 1
Se4 Se 0.926 0.335 0.061 1

# 2
# NaLa2Zr PBE optimized geometry
# Energy relative to the elements: 0.3592 eV per atom
data_NaLa2Zr
_cell_length_a 7.942
_cell_length_b 7.942
_cell_length_c 7.942
_cell_angle_alpha 90.00
_cell_angle_beta 90.00
_cell_angle_gamma 90.00
_space_group_name_H-M_alt 'F m -3 m'
_space_group_IT_number 225
_space_group_name_Hall '-F 4 2 3'
loop_
_atom_site_label
_atom_site_type_symbol
_atom_site_fract_x
_atom_site_fract_y
_atom_site_fract_z
_atom_site_occupancy
Na1 Na 0.000 0.000 0.000 1
La1 La 0.250 0.250 0.250 1
Zr1 Zr 0.000 0.000 0.500 1

# 3
# Ac8GeTe3Se3 PBE optimized geometry
# Formation energy from raw total energies: -1451 meV/atom
data_Ac8GeTe3Se3
_cell_length_a 9.1296
_cell_length_b 9.1296
_cell_length_c 22.8519
_cell_angle_alpha 90.00
_cell_angle_beta 90.00
_cell_angle_gamma 120.00
_space_group_name_H-M_alt 'R -3 m'
_space_group_IT_number 166
_space_group_name_Hall '-R 3 2"'
loop_
_atom_site_label
_atom_site_type_symbol
_atom_site_fract_x
_atom_site_fract_y
_atom_site_fract_z
_atom_site_occupancy
Ac1 Ac 0.0000 0.0000 0.2420 1
Ac2 Ac 0.0003 0.5002 0.2430 1
Ge1 Ge 0.0000 0.0000 0.5000 1
Te1 Te 0.0000 0.5000 0.0000 1
Se1 Se 0.0000 0.5000 0.5000 1

# 4
# LaCdFeC PBE optimized geometry
# Energy relative to the elements: -0.0255 eV per atom
data_LaCdFeC
_cell_length_a 3.684
_cell_length_b 3.684
_cell_length_c 10.967
_cell_angle_alpha 90.00
_cell_angle_beta 90.00
_cell_angle_gamma 90.00
_space_group_name_H-M_alt 'P 4/n m m'
_space_group_IT_number 129
loop_
_space_group_symop_operation_xyz
'x,y,z'
'-x,-y,-z'
'-y+1/2,x,z'
'y+1/2,-x,-z'
'-x+1/2,-y+1/2,z'
'x+1/2,y+1/2,-z'
'y,-x+1/2,z'
'-y,x+1/2,-z'
'x+1/2,-y,-z'
'-x+1/2,y,z'
'-y,-x,-z'
'y,x,z'
'-x,y+1/2,-z'
'x,-y+1/2,z'
'y+1/2,x+1/2,-z'
'-y+1/2,-x+1/2,z'
loop_
_atom_site_label
_atom_site_type_symbol
_atom_site_fract_x
_atom_site_fract_y
_atom_site_fract_z
_atom_site_occupancy
La1 La 0.250 0.250 0.207 1
Cd1 Cd 0.250 0.750 0.500 1
Fe1 Fe 0.250 0.750 0.000 1
C1 C 0.250 0.250 0.924 1

# 5
# La6Dy5 PBE optimized geometry
# Energy relative to the elements: 0.1102 eV per atom
data_La6Dy5
_cell_length_a 10.097
_cell_length_b 16.190
_cell_length_c 5.707
_cell_angle_alpha 90.00
_cell_angle_beta 124.27
_cell_angle_gamma 90.00
_space_group_name_H-M_alt 'C 1 2/m 1'
_space_group_IT_number 12
loop_
_space_group_symop_operation_xyz
'x,y,z'
'-x,-y,-z'
'-x,y,-z'
'x,-y,z'
'x+1/2,y+1/2,z'
'-x+1/2,-y+1/2,-z'
'-x+1/2,y+1/2,-z'
'x+1/2,-y+1/2,z'
loop_
_atom_site_label
_atom_site_type_symbol
_atom_site_fract_x
_atom_site_fract_y
_atom_site_fract_z
_atom_site_occupancy
La1 La 0.207 0.000 0.209 1
La2 La 0.208 0.139 0.708 1
Dy1 Dy 0.000 0.201 0.000 1
Dy2 Dy 0.000 0.339 0.500 1
Dy3 Dy 0.000 0.500 0.000 1

# 6
# ZnPdN2F PBE optimized geometry
# Formation energy from raw total energies: 1066 meV/atom
data_ZnPdN2F
_cell_length_a 3.920
_cell_length_b 3.920
_cell_length_c 3.873
_cell_angle_alpha 90.00
_cell_angle_beta 90.00
_cell_angle_gamma 90.00
_space_group_name_H-M_alt 'P 4/m m m'
_space_group_IT_number 123
_space_group_name_Hall '-P 4 2'
loop_
_atom_site_label
_atom_site_type_symbol
_atom_site_fract_x
_atom_site_fract_y
_atom_site_fract_z
_atom_site_occupancy
Zn1 Zn 0.000 0.000 0.000 1
Pd1 Pd 0.500 0.500 0.500 1
N1 N 0.000 0.500 0.000 1
F1 F 0.000 0.000 0.500 1

# 7
# HoTm3Pd4 PBE optimized geometry
# Energy relative to the elements: -0.9339 eV per atom
data_HoTm3Pd4
_cell_length_a 4.942
_cell_length_b 4.942
_cell_length_c 6.828
_cell_angle_alpha 90.00
_cell_angle_beta 90.00
_cell_angle_gamma 90.00
_space_group_name_H-M_alt 'P 4/m m m'
_space_group_IT_number 123
_space_group_name_Hall '-P 4 2'
loop_
_atom_site_label
_atom_site_type_symbol
_atom_site_fract_x
_atom_site_fract_y
_atom_site_fract_z
_atom_site_occupancy
Ho1 Ho 0.000 0.000 0.000 1
Tm1 Tm 0.000 0.000 0.500 1
Tm2 Tm 0.500 0.500 0.000 1
Tm3 Tm 0.500 0.500 0.500 1
Pd1 Pd 0.000 0.500 0.252 1

# 8
# Te2Cl PBE optimized geometry
# Formation energy from raw total energies: -21 meV/atom
data_Te2Cl
_cell_length_a 3.817
_cell_length_b 3.817
_cell_length_c 11.654
_cell_angle_alpha 90.00
_cell_angle_beta 90.00
_cell_angle_gamma 90.00
_space_group_name_H-M_alt 'I 4/m m m'
_space_group_IT_number 139
_space_group_name_Hall '-I 4 2'
loop_
_atom_site_label
_atom_site_type_symbol
_atom_site_fract_x
_atom_site_fract_y
_atom_site_fract_z
_atom_site_occupancy
Te1 Te 0.000 0.000 0.190 1
Cl1 Cl 0.000 0.000 0.500 1